Record 1
The following is a DFT calculation (PBE) of a relaxed structure of PmP4.

Structure (extended XYZ):
```
5
Lattice="5.368 0.000 0.000 0.000 5.368 0.000 0.000 0.000 5.368" Properties=species:S:1:pos:R:3 pbc="T T T"
P 0.000 0.000 0.000
P 2.684 0.000 2.684
P 0.000 2.684 2.684
P 2.684 2.684 0.000
Pm 2.684 2.684 2.684
```

Record 2
The following is a DFT calculation (PBE) of a relaxed structure of Pm5P4.

Structure (extended XYZ):
```
9
Lattice="3.864 0.000 1.123 1.932 8.132 0.561 -0.337 0.000 8.370" Properties=species:S:1:pos:R:3 pbc="T T T"
Pm 3.548 5.425 2.209
Pm 4.282 7.001 6.894
Pm 1.177 1.131 3.161
Pm 1.910 2.707 7.846
Pm 0.000 0.000 0.000
P 3.560 2.612 2.169
P 5.067 7.043 4.193
P 0.392 1.089 5.862
P 1.899 5.520 7.886
```

Let's list energy relative to the elements in order: 659 -1030 kJ/mol of formula units.